[1]
VASP calculation (PBE-GGA) on a relaxed CrIn2Sb crystal.

Geometry as POSCAR:
```
CrIn2Sb
1.0
-1.3480 5.3408 -1.5718
-3.3786 4.2375 1.8549
2.9622 2.1472 2.4467
Cr In Sb
1 2 1
direct
0.7500 0.7500 0.7500
0.9904 0.9904 0.9997
0.5096 0.5096 0.5003
0.2500 0.2500 0.2500
```

Values from the calculation:
Formation energy without anion corrections (meV per atom): 283
Magnetic moment (μB/f.u.): 3.9

=====

[2]
VASP calculation (PBE-GGA) on a relaxed NiTe2I crystal.

Geometry as POSCAR:
```
NiTe2I
1.0
8.0837 -0.1806 -0.1167
1.0048 3.8168 -0.0110
1.0056 1.7872 3.3722
I Ni Te
1 1 2
direct
0.5144 0.2311 0.3479
0.0146 0.7297 0.8494
0.8540 0.4466 0.5655
0.1751 0.0129 0.1332
```

Values from the calculation:
Formation energy without anion corrections (meV per atom): -172
Magnetic moment (μB/f.u.): 0.0

=====

[3]
VASP calculation (PBE-GGA) on a relaxed CeGe3Ru2 crystal.

Geometry as POSCAR:
```
CeGe3Ru2
1.0
-3.4553 -4.2703 -1.8031
-0.2408 -2.2158 5.7090
-4.7841 3.8292 0.0990
Ce Ge Ru
2 6 4
direct
0.2500 0.3564 0.3564
0.7500 0.6436 0.6436
0.7500 0.4464 0.1184
0.7500 0.1184 0.4464
0.2500 0.5536 0.8816
0.7500 0.0118 0.0118
0.2500 0.9882 0.9882
0.2500 0.8816 0.5536
0.5000 0.7831 0.2169
0.0000 0.7831 0.2169
0.0000 0.2169 0.7831
0.5000 0.2169 0.7831
```

Values from the calculation:
Calculated total energy (eV/atom): -6.817
Magnetic moment (μB/f.u.): 0.5

=====

[4]
VASP calculation (PBE-GGA) on a relaxed CrOsAu2 crystal.

Geometry as POSCAR:
```
CrOsAu2
1.0
9.6179 0.0277 0.0162
9.2126 2.7625 0.0162
9.2126 1.3651 2.4018
Au Cr Os
2 1 1
direct
0.0029 0.0029 0.0029
0.2427 0.2427 0.2427
0.4945 0.4945 0.4945
0.7599 0.7599 0.7599
```

Values from the calculation:
Magnetic moment (μB/f.u.): 0.0
Energy above the most stable polymorph in this dataset (eV/f.u.): 0.11

=====

[5]
VASP calculation (PBE-GGA) on a relaxed ScTlO2F crystal.

Geometry as POSCAR:
```
ScTlO2F
1.0
-3.4372 0.7194 -2.1821
-2.2977 -1.0582 3.2702
0.0103 3.8243 1.2447
Sc Tl O F
1 1 2 1
direct
0.0000 0.0000 0.0000
0.5000 0.5000 0.5000
0.0000 0.5000 0.0000
0.5000 0.0000 0.0000
0.0000 0.0000 0.5000
```

Values from the calculation:
Formation energy without anion corrections (meV per atom): -2253
Magnetic moment (μB/f.u.): 0.0

=====

[6]
VASP calculation (PBE-GGA) on a relaxed Ti4Ga5Ag crystal.

Geometry as POSCAR:
```
Ti4Ga5Ag
1.0
-1.0684 0.8445 2.5032
-0.0505 -2.7062 0.8914
18.2376 2.0013 7.1086
Ti Ga Ag
4 5 1
direct
0.0000 0.0000 0.2033
0.0000 0.0000 0.4009
0.0000 0.0000 0.5991
0.0000 0.0000 0.7967
0.5000 0.5000 0.1063
0.5000 0.5000 0.3024
0.5000 0.5000 0.5000
0.5000 0.5000 0.6976
0.5000 0.5000 0.8937
0.0000 0.0000 0.0000
```

Values from the calculation:
Calculated total energy (eV/atom): -5.328
Magnetic moment (μB/f.u.): 0.0

=====

[7]
VASP calculation (PBE-GGA) on a relaxed BaSr3Li crystal.

Geometry as POSCAR:
```
BaSr3Li
1.0
-6.7342 4.5988 -3.9007
-0.5213 -8.8287 -1.8701
0.1850 0.0697 8.7130
Ba Sr Li
2 6 2
direct
0.7509 0.0387 0.7896
0.2491 0.9613 0.2104
0.8291 0.0911 0.3304
0.2392 0.5013 0.3304
0.7608 0.4987 0.6696
0.6928 0.4273 0.1201
0.1709 0.9089 0.6696
0.3072 0.5727 0.8799
0.6595 0.7274 0.3869
0.3405 0.2726 0.6131
```

Values from the calculation:
Magnetic moment (μB/f.u.): 0.0
Energy above the most stable polymorph in this dataset (eV/f.u.): 0.36

=====

[8]
VASP calculation (PBE-GGA) on a relaxed Ho8As4PS3 crystal.

Geometry as POSCAR:
```
Ho8As4PS3
1.0
-7.8238 -1.0823 -1.4530
0.0835 -6.6328 4.4910
2.5917 6.9614 3.0530
Ho As P S
8 4 1 3
direct
0.2471 0.7464 0.9993
0.2470 0.7463 0.4940
0.2501 0.2503 0.5002
0.7523 0.7464 0.9993
0.2477 0.2536 0.0007
0.7499 0.7497 0.4998
0.7530 0.2537 0.5060
0.7529 0.2536 0.0007
0.5000 0.0000 0.0000
0.5000 0.0000 0.5000
0.0000 0.0000 0.0000
0.0000 0.0000 0.5000
0.0000 0.5000 0.0000
0.5000 0.5000 0.0000
0.5000 0.5000 0.5000
0.0000 0.5000 0.5000
```

Values from the calculation:
Formation energy without anion corrections (meV per atom): -1746
Magnetic moment (μB/f.u.): 0.0

=====

[9]
VASP calculation (PBE-GGA) on a relaxed Tb4YPd4 crystal.

Geometry as POSCAR:
```
Tb4YPd4
1.0
-5.6526 -1.3483 0.0987
1.4795 -5.7065 6.7796
-1.4758 6.6188 5.8932
Tb Y Pd
8 2 8
direct
0.4112 0.3188 0.9086
0.9112 0.5914 0.8188
0.4112 0.6812 0.0914
0.0888 0.1812 0.5914
0.5888 0.9086 0.6812
0.0888 0.8188 0.4086
0.9112 0.4086 0.1812
0.5888 0.0914 0.3188
0.0000 0.0000 0.0000
0.5000 0.5000 0.5000
0.5936 0.7823 0.3773
0.5936 0.2177 0.6227
0.0935 0.8773 0.7177
0.9064 0.2823 0.8773
0.9064 0.7177 0.1227
0.4064 0.3773 0.2177
0.4064 0.6227 0.7823
0.0935 0.1227 0.2823
```

Values from the calculation:
Calculated total energy (eV/atom): -5.745
Magnetic moment (μB/f.u.): 0.0

=====

[10]
VASP calculation (PBE-GGA) on a relaxed CaPCl2 crystal.

Geometry as POSCAR:
```
CaPCl2
1.0
7.7775 0.0000 0.0000
0.0000 7.7775 0.0000
3.8887 3.8887 3.2512
P Ca Cl
2 2 4
direct
0.5000 0.5000 0.0000
0.2500 0.7500 0.5000
0.0000 0.0000 0.0000
0.7500 0.2500 0.5000
0.6466 0.1250 0.2500
0.1034 0.6250 0.2500
0.3750 0.3534 0.7500
0.8750 0.8966 0.7500
```

Values from the calculation:
Formation energy without anion corrections (meV per atom): -684
Magnetic moment (μB/f.u.): 1.0
Energy above the most stable polymorph in this dataset (eV/f.u.): 1.50

=====

[11]
VASP calculation (PBE-GGA) on a relaxed Dy3Y2Ga4 crystal.

Geometry as POSCAR:
```
Dy3Y2Ga4
1.0
-4.2566 4.6275 3.8067
-1.3221 -7.2386 3.0319
5.9185 1.1204 5.2558
Dy Y Ga
6 4 8
direct
0.0000 0.5000 0.5000
0.5000 0.5000 0.0000
0.7519 0.2374 0.8261
0.7481 0.7626 0.3261
0.2481 0.7626 0.1739
0.2519 0.2374 0.6739
0.5722 0.1878 0.3137
0.9278 0.8122 0.8137
0.4278 0.8122 0.6863
0.0722 0.1878 0.1863
0.8623 0.0819 0.5291
0.6377 0.9181 0.0291
0.1377 0.9181 0.4709
0.3623 0.0819 0.9709
0.8804 0.4863 0.1260
0.6196 0.5137 0.6260
0.1196 0.5137 0.8740
0.3804 0.4863 0.3740
```

Values from the calculation:
Calculated total energy (eV/atom): -4.901
Magnetic moment (μB/f.u.): 0.0

=====

[12]
VASP calculation (PBE-GGA) on a relaxed ZrTaCl3 crystal.

Geometry as POSCAR:
```
ZrTaCl3
1.0
4.8588 0.0000 0.0000
0.0000 4.8588 0.0000
0.0000 0.0000 4.8588
Cl Zr Ta
3 1 1
direct
0.0000 0.5000 0.0000
0.0000 0.0000 0.5000
0.5000 0.0000 0.0000
0.5000 0.5000 0.5000
0.0000 0.0000 0.0000
```

Values from the calculation:
Formation energy without anion corrections (meV per atom): 277
Magnetic moment (μB/f.u.): 2.7
Energy above the most stable polymorph in this dataset (eV/f.u.): 0.06

=====

[13]
VASP calculation (PBE-GGA) on a relaxed BaOs2 crystal.

Geometry as POSCAR:
```
BaOs2
1.0
-2.6934 -5.3058 -2.5094
2.1652 -5.3454 -2.9055
-0.2320 4.2637 4.8445
Os Ba
2 1
direct
0.7160 0.7160 0.0000
0.2840 0.2840 0.0000
0.0000 0.0000 0.0000
```

Values from the calculation:
Magnetic moment (μB/f.u.): 0.0
Energy above the most stable polymorph in this dataset (eV/f.u.): 0.71

=====

[14]
VASP calculation (PBE-GGA) on a relaxed AgAs3Se crystal.

Geometry as POSCAR:
```
AgAs3Se
1.0
-0.1765 3.6817 3.4305
2.0689 -3.0760 3.4077
4.5872 1.5290 -1.4049
As Se Ag
3 1 1
direct
0.0000 0.5000 0.0000
0.0000 0.0000 0.5000
0.5000 0.0000 0.0000
0.0000 0.0000 0.0000
0.5000 0.5000 0.5000
```

Values from the calculation:
Formation energy without anion corrections (meV per atom): 923
Magnetic moment (μB/f.u.): 0.0
Energy above the most stable polymorph in this dataset (eV/f.u.): 0.00

=====

[15]
VASP calculation (PBE-GGA) on a relaxed SrCa2HAu crystal.

Geometry as POSCAR:
```
SrCa2HAu
1.0
6.3395 0.0000 0.0000
0.0000 3.8502 0.0000
0.0000 0.0000 6.3395
Sr Ca Au H
1 2 1 1
direct
0.5000 0.5000 0.5000
0.0000 0.0000 0.5000
0.5000 0.0000 0.0000
0.0000 0.0000 0.0000
0.0000 0.5000 0.0000
```

Values from the calculation:
Magnetic moment (μB/f.u.): 0.0
Energy above the most stable polymorph in this dataset (eV/f.u.): 2.35

=====

[16]
VASP calculation (PBE-GGA) on a relaxed Li2Tl3Pd4 crystal.

Geometry as POSCAR:
```
Li2Tl3Pd4
1.0
-1.0074 -4.0122 -0.0864
1.0457 -2.4896 4.1673
-7.0016 1.6320 5.2832
Li Tl Pd
2 3 4
direct
0.3318 0.3360 0.7911
0.6682 0.6640 0.2089
0.3317 0.3367 0.4153
0.0000 0.0000 0.0000
0.6683 0.6633 0.5847
0.6662 0.6673 0.8998
0.0050 0.9905 0.3196
0.9950 0.0095 0.6804
0.3338 0.3327 0.1002
```

Values from the calculation:
Magnetic moment (μB/f.u.): 0.0
Energy above the most stable polymorph in this dataset (eV/f.u.): 0.00

=====

[17]
VASP calculation (PBE-GGA) on a relaxed Er4Co2Rh crystal.

Geometry as POSCAR:
```
Er4Co2Rh
1.0
6.6268 -1.0057 -0.3037
-1.3621 7.8335 -0.3316
-2.6952 -3.9462 6.2922
Er Co Rh
8 4 2
direct
0.0013 0.2555 0.3407
0.3549 0.5394 0.2026
0.8556 0.6278 0.6215
0.7258 0.0775 0.7652
0.4046 0.0336 0.2903
0.2212 0.1294 0.6975
0.4963 0.7112 0.8874
0.8599 0.5997 0.1619
0.6312 0.3854 0.7240
0.7519 0.9293 0.3650
0.5661 0.2264 0.0989
0.0187 0.4299 0.7938
0.2466 0.7293 0.5446
0.1157 0.0758 0.0067
```

Values from the calculation:
Calculated total energy (eV/atom): -6.024
Magnetic moment (μB/f.u.): 0.0

=====

[18]
VASP calculation (PBE-GGA) on a relaxed Tm2TaBiO8 crystal.

Geometry as POSCAR:
```
Tm2TaBiO8
1.0
4.9874 -0.1005 -0.0028
-0.0850 4.9861 -0.0056
0.0039 0.0075 6.6875
Tm Ta Bi O
2 1 1 8
direct
0.5000 0.5000 0.7577
0.5000 0.5000 0.2423
0.0000 0.0000 0.0000
0.0000 0.0000 0.5000
0.1845 0.8152 0.2338
0.7135 0.7135 0.0000
0.8155 0.1848 0.2338
0.8155 0.1848 0.7662
0.2865 0.2865 0.0000
0.1845 0.8152 0.7662
0.7003 0.7009 0.5000
0.2997 0.2991 0.5000
```

Values from the calculation:
Formation energy without anion corrections (meV per atom): -2579
Magnetic moment (μB/f.u.): 0.0

=====

[19]
VASP calculation (PBE-GGA) on a relaxed Tl5In3Br12 crystal.

Geometry as POSCAR:
```
Tl5In3Br12
1.0
-7.0527 -9.7728 10.7910
14.6956 -5.6991 -3.6405
1.3755 14.8510 6.2650
In Tl Br
12 20 48
direct
0.7500 0.3750 0.1250
0.8750 0.7500 0.1250
0.3750 0.7500 0.6250
0.2500 0.1250 0.3750
0.8750 0.1250 0.2500
0.3750 0.6250 0.2500
0.6250 0.3750 0.7500
0.1250 0.8750 0.7500
0.7500 0.8750 0.6250
0.6250 0.2500 0.3750
0.1250 0.2500 0.8750
0.2500 0.6250 0.8750
0.1250 0.3750 0.2500
0.0000 0.5000 0.0000
0.0000 0.0000 0.0000
0.3750 0.2500 0.1250
0.5000 0.0000 0.5000
0.5000 0.5000 0.0000
0.1250 0.7500 0.3750
0.7500 0.1250 0.8750
0.7500 0.6250 0.3750
0.3750 0.1250 0.7500
0.6250 0.8750 0.2500
0.5000 0.5000 0.5000
0.5000 0.0000 0.0000
0.0000 0.0000 0.5000
0.2500 0.3750 0.6250
0.2500 0.8750 0.1250
0.0000 0.5000 0.5000
0.8750 0.2500 0.6250
0.6250 0.7500 0.8750
0.8750 0.6250 0.7500
0.7276 0.1273 0.0393
0.3117 0.5393 0.4120
0.9607 0.3727 0.2724
0.5393 0.2276 0.1273
0.6003 0.7276 0.6883
0.9607 0.5880 0.1883
0.3117 0.7724 0.3997
0.0880 0.8997 0.1273
0.5880 0.9607 0.6883
0.7276 0.6003 0.1883
0.7724 0.4607 0.3727
0.8117 0.9120 0.0393
0.1273 0.7276 0.5393
0.3727 0.4120 0.1003
0.1003 0.9120 0.3727
0.3997 0.1273 0.5880
0.1003 0.1883 0.2276
0.4607 0.6883 0.0880
0.8117 0.8997 0.2724
0.1273 0.3997 0.0880
0.3727 0.9607 0.7724
0.5880 0.6273 0.3997
0.9120 0.8117 0.5393
0.7724 0.3117 0.8997
0.4120 0.3727 0.6003
0.0880 0.1883 0.4607
0.2276 0.6883 0.1003
0.1883 0.1003 0.7276
0.6273 0.0393 0.2276
0.8727 0.6003 0.9120
0.5393 0.3117 0.9120
0.6003 0.8727 0.4120
0.8997 0.8117 0.7724
0.8997 0.0880 0.6273
0.8727 0.2724 0.4607
0.1883 0.0880 0.9607
0.6273 0.5880 0.8997
0.4120 0.0393 0.3117
0.2724 0.3997 0.8117
0.2276 0.5393 0.6273
0.9120 0.1003 0.8727
0.6883 0.2276 0.6003
0.4607 0.7724 0.8727
0.0393 0.4120 0.8117
0.3997 0.2724 0.3117
0.0393 0.6273 0.7276
0.6883 0.4607 0.5880
0.2724 0.8727 0.9607
```

Values from the calculation:
Formation energy without anion corrections (meV per atom): -587
Magnetic moment (μB/f.u.): 0.0

=====

[20]
VASP calculation (PBE-GGA) on a relaxed ErPu3Ga12 crystal.

Geometry as POSCAR:
```
ErPu3Ga12
1.0
-2.5513 0.4136 3.4173
1.2898 -3.8289 1.4264
12.7365 7.4947 8.6017
Er Pu Ga
1 3 12
direct
0.0000 0.0000 0.0000
0.0000 0.0000 0.2481
0.0000 0.0000 0.5000
0.0000 0.0000 0.7519
0.5000 0.5000 0.0000
0.5000 0.5000 0.2507
0.5000 0.5000 0.5000
0.5000 0.5000 0.7493
0.5000 0.0000 0.1250
0.5000 0.0000 0.3744
0.5000 0.0000 0.6256
0.5000 0.0000 0.8750
0.0000 0.5000 0.1250
0.0000 0.5000 0.3744
0.0000 0.5000 0.6256
0.0000 0.5000 0.8750
```

Values from the calculation:
Calculated total energy (eV/atom): -5.651
Magnetic moment (μB/f.u.): 16.1